First-principles (PBE-GGA) data for a relaxed structure of TiCoPb2, as listed in Alexandria.

a = 4.351 Å, b = 4.351 Å, c = 19.137 Å
α = 90.00°, β = 90.00°, γ = 90.00°
Space group I-42d (No. 122)
Asymmetric unit:
1 Ti 0.000 0.000 0.000 [4 per cell]
2 Co 0.000 0.000 0.500 [4 per cell]
3 Pb 0.243 0.250 0.625 [8 per cell]

Computed properties:
E = -0.3647 Ry per atom
polymorph energy (0 for the lowest one) = 213 meV per atom
formation energy = 2.57 eV/f.u.

***

First-principles (PBE-GGA) data for a relaxed structure of Ti7Co2Pb2, as listed in Alexandria.

a = 7.465 Å, b = 9.502 Å, c = 6.001 Å
α = 90.00°, β = 90.00°, γ = 90.00°
Space group Cmmm (No. 65)
Asymmetric unit:
1 Ti 0.000 0.000 0.000 [2 per cell]
2 Ti 0.000 0.500 0.222 [4 per cell]
3 Ti 0.250 0.250 0.233 [8 per cell]
4 Co 0.000 0.277 0.000 [4 per cell]
5 Pb 0.193 0.000 0.500 [4 per cell]

Computed properties:
E = -0.5016 Ry per atom
formation energy = 1.82 eV/f.u.

***

First-principles (PBE-GGA) data for a relaxed structure of TiTlCoPb2, as listed in Alexandria.

a = 5.735 Å, b = 5.735 Å, c = 5.320 Å
α = 90.00°, β = 90.00°, γ = 90.00°
Space group P4/mmm (No. 123)
Asymmetric unit:
1 Ti 0.000 0.000 0.000 [1 per cell]
2 Tl 0.000 0.000 0.500 [1 per cell]
3 Co 0.500 0.500 0.000 [1 per cell]
4 Pb 0.000 0.500 0.500 [2 per cell]

Computed properties:
E = -0.2515 Ry per atom
formation energy = 7.67 eV/f.u.

***

no.,total magnetic moment (μB per formula unit)
1,1.0
2,0.0
3,3.9